The following is a DFT calculation (PBE) of crystalline PrMgScHg at its relaxed geometry.

Unit cell a=5.2655 b=5.2655 c=5.2655 alpha=60.00 beta=60.00 gamma=60.00
Closest atoms and distances in Å follow each position.
Sites, in units of the cell vectors:
Sc  0.0000  0.0000  0.0000  4 Mg 3.22, 4 Hg 3.22
Mg  0.7500  0.7500  0.7500  4 Pr 3.22, 4 Sc 3.22
Hg  0.2500  0.2500  0.2500  4 Pr 3.22, 4 Sc 3.22
Pr  0.5000  0.5000  0.5000  4 Hg 3.22, 4 Mg 3.22

Values from the calculation:
**Energy of formation from the pure elements**: -0.23 eV per atom
**Crystal system**: cubic
**DFT total energy**: -3.479 eV/atom
**Total moment**: 0.4 μB/f.u.
**SG**: F-43m
**Volume**: 103.2 Å³ per cell

The following is a DFT calculation (PBE) of crystalline Ta2TcAs at its relaxed geometry.

Unit cell a=3.0391 b=4.0758 c=5.3332 alpha=90.00 beta=90.00 gamma=90.00
Closest atoms and distances in Å follow each position.
Sites, in units of the cell vectors:
Ta  0.0000  0.0000  0.4945  2 Ta 2.61-2.73, 4 Tc 2.86, 4 As 2.88
Ta  0.0000  0.0000  0.0055  2 Ta 2.61-2.73, 4 Tc 2.86, 4 As 2.88
As  0.5000  0.5000  0.7500  2 Tc 2.67, 8 Ta 2.88
Tc  0.5000  0.5000  0.2500  2 As 2.67, 8 Ta 2.86

Values from the calculation:
**Energy of formation from the pure elements**: -0.07 eV per atom
**Crystal system**: orthorhombic
**DFT total energy**: -9.747 eV/atom
**Total moment**: 0.0 μB/f.u.
**SG**: Pmmm
**Volume**: 66.1 Å³ per cell

The following is a DFT calculation (PBE) of crystalline LaHgI at its relaxed geometry.

Unit cell a=3.8930 b=3.8930 c=13.1487 alpha=90.00 beta=90.00 gamma=90.00
Closest atoms and distances in Å follow each position.
Sites, in units of the cell vectors:
Hg  0.0000  0.5000  0.0637  4 Hg 3.22, 5 La 3.34-3.57
Hg  0.5000  0.0000  0.9363  4 Hg 3.22, 5 La 3.34-3.57
La  0.5000  0.0000  0.2081  5 Hg 3.34-3.57, 4 I 3.41
I  0.0000  0.5000  0.3610  4 La 3.41
I  0.5000  0.0000  0.6390  4 La 3.41
La  0.0000  0.5000  0.7919  5 Hg 3.34-3.57, 4 I 3.41

Values from the calculation:
**Crystal system**: tetragonal
**DFT total energy**: -3.124 eV/atom
**Total moment**: 0.0 μB/f.u.
**SG**: P4/nmm
**Volume**: 199.3 Å³ per cell

Copy entry 1 word for word.
The following is a DFT calculation (PBE) of crystalline PrMgScHg at its relaxed geometry.

Unit cell a=5.2655 b=5.2655 c=5.2655 alpha=60.00 beta=60.00 gamma=60.00
Closest atoms and distances in Å follow each position.
Sites, in units of the cell vectors:
Sc  0.0000  0.0000  0.0000  4 Mg 3.22, 4 Hg 3.22
Mg  0.7500  0.7500  0.7500  4 Pr 3.22, 4 Sc 3.22
Hg  0.2500  0.2500  0.2500  4 Pr 3.22, 4 Sc 3.22
Pr  0.5000  0.5000  0.5000  4 Hg 3.22, 4 Mg 3.22

Values from the calculation:
**Energy of formation from the pure elements**: -0.23 eV per atom
**Crystal system**: cubic
**DFT total energy**: -3.479 eV/atom
**Total moment**: 0.4 μB/f.u.
**SG**: F-43m
**Volume**: 103.2 Å³ per cell